VASP calculation (GGA-PBE) on a relaxed structure of NdGaPt4.

a b c (Å): 5.414 5.414 5.414
angles (deg): 60.00 60.00 60.00
Element x y z (fractional)
1 Nd 0.250 0.250 0.250
2 Ga 0.000 0.000 0.000
3 Pt 0.626 0.626 0.123
4 Pt 0.626 0.123 0.626
5 Pt 0.626 0.626 0.626
6 Pt 0.123 0.626 0.626

Results
spin magnetization: 0.0 μB/f.u.
calculated volume: 18.7 Å³ per atom
ΔE_f: -764 meV/atom
total DFT energy (no corrections): -6.091 eV per atom
space group: F-43m (216)